Entry 1:
Computed, not measured: crystalline BrCl at its relaxed geometry at the PBE level of DFT.

Crystal system: monoclinic
Calculated volume (Å³ per cell): 166.41
Space group: P2_1/m (11)
Uncorrected formation energy (eV per formula unit): 0.10

a b c (Å): 6.606 4.547 7.669
angles (deg): 90.00 90.00 133.74
Element x y z (fractional)
Cl 0.641 0.985 0.750
Cl 0.359 0.015 0.250
Br 0.804 0.611 0.250
Br 0.196 0.389 0.750


Entry 2:
Computed, not measured: crystalline BrCl at its relaxed geometry at the PBE level of DFT.

Crystal system: orthorhombic
Calculated volume (Å³ per cell): 137.65
Space group: Pmmn (59)
Uncorrected formation energy (eV per formula unit): 0.30

a b c (Å): 3.223 8.586 4.974
angles (deg): 90.00 90.00 90.00
Element x y z (fractional)
Cl 0.000 0.000 0.525
Br 0.500 0.500 0.725
Cl 0.500 0.500 0.225
Br 0.000 0.000 0.025


Entry 3:
Computed, not measured: crystalline BrCl2 at its relaxed geometry at the PBE level of DFT.

Crystal system: hexagonal
Calculated volume (Å³ per cell): 234.96
Space group: P-62m (189)
Uncorrected formation energy (eV per formula unit): 1.89

a b c (Å): 8.494 8.494 3.761
angles (deg): 90.00 90.00 120.00
Element x y z (fractional)
Br 0.000 0.000 0.500
Br 0.667 0.333 0.000
Cl 0.000 0.226 0.000
Cl 0.492 0.492 0.500
Cl 0.508 0.000 0.500
Cl 0.226 0.000 0.000
Cl 0.000 0.508 0.500
Br 0.333 0.667 0.000
Cl 0.774 0.774 0.000


Entry 4:
Computed, not measured: crystalline BrCl at its relaxed geometry at the PBE level of DFT.

Crystal system: orthorhombic
Calculated volume (Å³ per cell): 666.23
Space group: Pnma (62)
Uncorrected formation energy (eV per formula unit): 0.02

a b c (Å): 7.887 8.419 10.034
angles (deg): 90.00 90.00 90.00
Element x y z (fractional)
Br 0.630 0.750 0.747
Br 0.099 0.250 0.904
Cl 0.324 0.250 0.767
Br 0.599 0.250 0.596
Cl 0.121 0.250 0.388
Cl 0.676 0.750 0.233
Cl 0.879 0.750 0.612
Br 0.401 0.750 0.404
Cl 0.176 0.750 0.267
Br 0.870 0.250 0.247
Br 0.370 0.250 0.253
Cl 0.379 0.750 0.888
Cl 0.824 0.250 0.733
Br 0.130 0.750 0.753
Cl 0.621 0.250 0.112
Br 0.901 0.750 0.096